Record 1
Here is an optimized crystal structure of Ho4Rh2Pb from Alexandria via LeMat-Bulk. Energies are from PBE.

a b c (Å): 8.5473 8.5473 6.8977
angles (deg): 107.75 107.75 119.66
Element x y z (fractional)
1 Ho 0.0084 0.9916 0.5000
2 Ho 0.1089 0.6834 0.8099
3 Ho 0.3892 0.5511 0.1318
4 Ho 0.5424 0.9554 0.6926
5 Ho 0.5511 0.3892 0.6318
6 Ho 0.6834 0.1089 0.3099
7 Ho 0.9554 0.5424 0.1926
8 Ho 0.9916 0.0084 0.0000
9 Rh 0.2824 0.9412 0.2966
10 Rh 0.6239 0.7692 0.9819
11 Rh 0.7692 0.6239 0.4819
12 Rh 0.9412 0.2824 0.7966
13 Pb 0.2078 0.4425 0.5033
14 Pb 0.4425 0.2078 0.0033

Values from the calculation:
D(E_F) = 0.501 states/eV/atom
SG = Cc
Energy relative to the elements = -0.64 eV per atom

Record 2
Here is an optimized crystal structure of La2Cl from Alexandria via LeMat-Bulk. Energies are from PBE.

a b c (Å): 7.1823 7.1823 7.1823
angles (deg): 90.00 90.00 90.00
Element x y z (fractional)
1 La 0.1385 0.1385 0.1385
2 La 0.1385 0.3615 0.6385
3 La 0.3615 0.6385 0.1385
4 La 0.3615 0.8615 0.6385
5 La 0.6385 0.1385 0.3615
6 La 0.6385 0.3615 0.8615
7 La 0.8615 0.6385 0.3615
8 La 0.8615 0.8615 0.8615
9 Cl 0.0000 0.0000 0.5000
10 Cl 0.0000 0.5000 0.0000
11 Cl 0.5000 0.0000 0.0000
12 Cl 0.5000 0.5000 0.5000

Values from the calculation:
D(E_F) = 1.086 states/eV/atom
SG = Pa-3
Offset from the most stable computed form = 60.9 meV/atom

Record 3
Here is an optimized crystal structure of Dy2TmC2 from Alexandria via LeMat-Bulk. Energies are from PBE.

a b c (Å): 6.2663 6.2663 7.2576
angles (deg): 108.38 108.38 48.00
Element x y z (fractional)
1 Dy 0.0075 0.0075 0.2312
2 Dy 0.3367 0.3367 0.9294
3 Dy 0.6633 0.6633 0.0706
4 Dy 0.9925 0.9925 0.7688
5 Tm 0.3456 0.3456 0.4038
6 Tm 0.6544 0.6544 0.5962
7 C 0.1687 0.1687 0.0915
8 C 0.4977 0.4977 0.7364
9 C 0.5023 0.5023 0.2636
10 C 0.8313 0.8313 0.9085

Values from the calculation:
D(E_F) = 0.465 states/eV/atom
SG = C2/m
Energy relative to the elements = -0.23 eV per atom

Record 4
Here is an optimized crystal structure of CdIr2 from Alexandria via LeMat-Bulk. Energies are from PBE.

a b c (Å): 5.2744 5.2744 5.2744
angles (deg): 60.00 60.00 60.00
Element x y z (fractional)
1 Cd 0.1250 0.1250 0.1250
2 Cd 0.8750 0.8750 0.8750
3 Ir 0.0000 0.5000 0.5000
4 Ir 0.5000 0.0000 0.5000
5 Ir 0.5000 0.5000 0.0000
6 Ir 0.5000 0.5000 0.5000

Values from the calculation:
D(E_F) = 1.149 states/eV/atom
SG = Fd-3m
Energy relative to the elements = 0.25 eV per atom

Record 5
Here is an optimized crystal structure of Rb2LiNpSe4 from Alexandria via LeMat-Bulk. Energies are from PBE.

a b c (Å): 7.1822 4.2792 8.2250
angles (deg): 90.00 107.17 90.00
Element x y z (fractional)
1 Rb 0.0000 0.0000 0.0000
2 Rb 0.5000 0.5000 0.0000
3 Li 0.0000 0.5000 0.5000
4 Np 0.5000 0.0000 0.5000
5 Se 0.2494 0.0000 0.6861
6 Se 0.2796 0.5000 0.3106
7 Se 0.7204 0.5000 0.6894
8 Se 0.7506 0.0000 0.3139

Values from the calculation:
E_tot = -39.60 eV per formula unit
D(E_F) = 0.522 states/eV/atom
SG = P2/m

Record 6
Here is an optimized crystal structure of Na3TbPb12 from Alexandria via LeMat-Bulk. Energies are from PBE.

a b c (Å): 4.8531 4.8531 20.1236
angles (deg): 90.00 90.00 90.00
Element x y z (fractional)
1 Na 0.0000 0.0000 0.0000
2 Na 0.0000 0.0000 0.2515
3 Na 0.0000 0.0000 0.7485
4 Tb 0.0000 0.0000 0.5000
5 Pb 0.0000 0.5000 0.1252
6 Pb 0.0000 0.5000 0.3753
7 Pb 0.0000 0.5000 0.6247
8 Pb 0.0000 0.5000 0.8748
9 Pb 0.5000 0.0000 0.1252
10 Pb 0.5000 0.0000 0.3753
11 Pb 0.5000 0.0000 0.6247
12 Pb 0.5000 0.0000 0.8748
13 Pb 0.5000 0.5000 0.0000
14 Pb 0.5000 0.5000 0.2482
15 Pb 0.5000 0.5000 0.5000
16 Pb 0.5000 0.5000 0.7518

Values from the calculation:
D(E_F) = 0.421 states/eV/atom
SG = P4/mmm
Energy relative to the elements = -0.16 eV per atom

Record 7
Here is an optimized crystal structure of CaAcTbEu from Alexandria via LeMat-Bulk. Energies are from PBE.

a b c (Å): 8.6006 8.6006 8.6006
angles (deg): 90.00 90.00 90.00
Element x y z (fractional)
1 Ca 0.0000 0.0000 0.0000
2 Ca 0.0000 0.5000 0.5000
3 Ca 0.5000 0.0000 0.5000
4 Ca 0.5000 0.5000 0.0000
5 Ac 0.2500 0.2500 0.7500
6 Ac 0.2500 0.7500 0.2500
7 Ac 0.7500 0.2500 0.2500
8 Ac 0.7500 0.7500 0.7500
9 Tb 0.0000 0.0000 0.5000
10 Tb 0.0000 0.5000 0.0000
11 Tb 0.5000 0.0000 0.0000
12 Tb 0.5000 0.5000 0.5000
13 Eu 0.2500 0.2500 0.2500
14 Eu 0.2500 0.7500 0.7500
15 Eu 0.7500 0.2500 0.7500
16 Eu 0.7500 0.7500 0.2500

Values from the calculation:
D(E_F) = 1.223 states/eV/atom
SG = F-43m
Energy relative to the elements = 0.11 eV per atom

Record 8
Here is an optimized crystal structure of TbTl2Si2Au7 from Alexandria via LeMat-Bulk. Energies are from PBE.

a b c (Å): 4.6139 4.6139 12.9347
angles (deg): 93.15 93.15 94.02
Element x y z (fractional)
1 Tb 0.0000 0.0000 0.0000
2 Tl 0.1041 0.1041 0.3774
3 Tl 0.8959 0.8959 0.6226
4 Si 0.3787 0.3787 0.7760
5 Si 0.6213 0.6213 0.2240
6 Au 0.0878 0.5230 0.1575
7 Au 0.4093 0.4093 0.5918
8 Au 0.4770 0.9122 0.8425
9 Au 0.5000 0.5000 0.0000
10 Au 0.5230 0.0878 0.1575
11 Au 0.5907 0.5907 0.4082
12 Au 0.9122 0.4770 0.8425

Values from the calculation:
E_tot = -45.89 eV per formula unit
D(E_F) = 0.194 states/eV/atom
SG = C2/m

Record 9
Here is an optimized crystal structure of NbB3Ir from Alexandria via LeMat-Bulk. Energies are from PBE.

a b c (Å): 4.1164 4.1164 4.1164
angles (deg): 90.00 90.00 90.00
Element x y z (fractional)
1 Nb 0.0000 0.0000 0.0000
2 B 0.0000 0.0000 0.5000
3 B 0.0000 0.5000 0.0000
4 B 0.5000 0.0000 0.0000
5 Ir 0.5000 0.5000 0.5000

Values from the calculation:
D(E_F) = 1.036 states/eV/atom
SG = Pm-3m
Energy relative to the elements = 1.92 eV per atom
Offset from the most stable computed form = 2403.1 meV/atom

Record 10
Here is an optimized crystal structure of La8C3SCl4 from Alexandria via LeMat-Bulk. Energies are from PBE.

a b c (Å): 8.5559 8.5559 8.5559
angles (deg): 55.00 55.00 55.00
Element x y z (fractional)
1 La 0.2125 0.7436 0.7436
2 La 0.2312 0.2312 0.2312
3 La 0.2564 0.2564 0.7875
4 La 0.2564 0.7875 0.2564
5 La 0.7436 0.2125 0.7436
6 La 0.7436 0.7436 0.2125
7 La 0.7688 0.7688 0.7688
8 La 0.7875 0.2564 0.2564
9 C 0.0000 0.0000 0.5000
10 C 0.0000 0.5000 0.0000
11 C 0.5000 0.0000 0.0000
12 S 0.5000 0.5000 0.5000
13 Cl 0.0000 0.0000 0.0000
14 Cl 0.0000 0.5000 0.5000
15 Cl 0.5000 0.0000 0.5000
16 Cl 0.5000 0.5000 0.0000

Values from the calculation:
E_tot = -98.67 eV per formula unit
D(E_F) = 0.451 states/eV/atom
SG = R-3m

Record 11
Here is an optimized crystal structure of SrScB from Alexandria via LeMat-Bulk. Energies are from PBE.

a b c (Å): 12.3776 3.5379 9.2532
angles (deg): 90.00 131.65 90.00
Element x y z (fractional)
1 Sr 0.0000 0.0000 0.0000
2 Sr 0.2235 0.0000 0.4939
3 Sr 0.5000 0.5000 0.0000
4 Sr 0.7235 0.5000 0.4939
5 Sc 0.0829 0.5000 0.7093
6 Sc 0.3538 0.0000 0.2347
7 Sc 0.5829 0.0000 0.7093
8 Sc 0.8538 0.5000 0.2347
9 B 0.2480 0.5000 0.2704
10 B 0.4201 0.5000 0.4710
11 B 0.7480 0.0000 0.2704
12 B 0.9201 0.0000 0.4710

Values from the calculation:
D(E_F) = 0.691 states/eV/atom
SG = Cm
Energy relative to the elements = 0.15 eV per atom
Offset from the most stable computed form = 285.3 meV/atom

Record 12
Here is an optimized crystal structure of Tc2PRu from Alexandria via LeMat-Bulk. Energies are from PBE.

a b c (Å): 5.4621 5.4621 10.5321
angles (deg): 90.00 90.00 90.00
Element x y z (fractional)
1 Tc 0.2375 0.2500 0.1250
2 Tc 0.2500 0.7375 0.3750
3 Tc 0.2500 0.7625 0.8750
4 Tc 0.2625 0.2500 0.6250
5 Tc 0.7375 0.7500 0.6250
6 Tc 0.7500 0.2375 0.8750
7 Tc 0.7500 0.2625 0.3750
8 Tc 0.7625 0.7500 0.1250
9 P 0.0000 0.0000 0.0000
10 P 0.0000 0.5000 0.2500
11 P 0.5000 0.0000 0.7500
12 P 0.5000 0.5000 0.5000
13 Ru 0.0000 0.0000 0.5000
14 Ru 0.0000 0.5000 0.7500
15 Ru 0.5000 0.0000 0.2500
16 Ru 0.5000 0.5000 0.0000

Values from the calculation:
D(E_F) = 0.973 states/eV/atom
SG = I-42d
Energy relative to the elements = 0.59 eV per atom

Record 13
Here is an optimized crystal structure of SrScAu from Alexandria via LeMat-Bulk. Energies are from PBE.

a b c (Å): 4.7433 4.7433 7.7271
angles (deg): 90.00 90.00 90.00
Element x y z (fractional)
1 Sr 0.2500 0.2500 0.1395
2 Sr 0.7500 0.7500 0.8605
3 Sc 0.2500 0.7500 0.5000
4 Sc 0.7500 0.2500 0.5000
5 Au 0.2500 0.2500 0.6972
6 Au 0.7500 0.7500 0.3028

Values from the calculation:
D(E_F) = 1.656 states/eV/atom
SG = P4/nmm
Energy relative to the elements = -0.55 eV per atom
Offset from the most stable computed form = 0.0 meV/atom

Record 14
Here is an optimized crystal structure of Ba2LiBi2 from Alexandria via LeMat-Bulk. Energies are from PBE.

a b c (Å): 4.7440 4.7440 20.3170
angles (deg): 90.00 90.00 90.00
Element x y z (fractional)
1 Ba 0.0000 0.0000 0.1151
2 Ba 0.0000 0.0000 0.8849
3 Ba 0.5000 0.5000 0.3849
4 Ba 0.5000 0.5000 0.6151
5 Li 0.0000 0.0000 0.5000
6 Li 0.5000 0.5000 0.0000
7 Bi 0.0000 0.5000 0.2500
8 Bi 0.0000 0.5000 0.7500
9 Bi 0.5000 0.0000 0.2500
10 Bi 0.5000 0.0000 0.7500

Values from the calculation:
D(E_F) = 1.116 states/eV/atom
SG = I4/mmm
Energy relative to the elements = -0.29 eV per atom
Offset from the most stable computed form = 488.1 meV/atom

Record 15
Here is an optimized crystal structure of ZrH12N5F4 from Alexandria via LeMat-Bulk. Energies are from PBE.

a b c (Å): 8.8762 8.8762 10.6201
angles (deg): 90.00 90.00 90.00
Element x y z (fractional)
1 Zr 0.2500 0.7500 0.2500
2 Zr 0.2500 0.7500 0.7500
3 Zr 0.7500 0.2500 0.2500
4 Zr 0.7500 0.2500 0.7500
5 H 0.0063 0.5447 0.1443
6 H 0.0063 0.9553 0.6443
7 H 0.0412 0.6808 0.0423
8 H 0.0412 0.8192 0.5423
9 H 0.0447 0.5063 0.3557
10 H 0.0447 0.9937 0.8557
11 H 0.0586 0.2166 0.3285
12 H 0.0586 0.2834 0.8285
13 H 0.1808 0.5412 0.4577
14 H 0.1808 0.9588 0.9577
15 H 0.2166 0.0586 0.8285
16 H 0.2166 0.4414 0.3285
17 H 0.2834 0.0586 0.3285
18 H 0.2834 0.4414 0.8285
19 H 0.3192 0.5412 0.9577
20 H 0.3192 0.9588 0.4577
21 H 0.4414 0.2166 0.8285
22 H 0.4414 0.2834 0.3285
23 H 0.4553 0.5063 0.8557
24 H 0.4553 0.9937 0.3557
25 H 0.4588 0.6808 0.5423
26 H 0.4588 0.8192 0.0423
27 H 0.4937 0.5447 0.6443
28 H 0.4937 0.9553 0.1443
29 H 0.5063 0.0447 0.8557
30 H 0.5063 0.4553 0.3557
31 H 0.5412 0.1808 0.9577
32 H 0.5412 0.3192 0.4577
33 H 0.5447 0.0063 0.6443
34 H 0.5447 0.4937 0.1443
35 H 0.5586 0.7166 0.6715
36 H 0.5586 0.7834 0.1715
37 H 0.6808 0.0412 0.5423
38 H 0.6808 0.4588 0.0423
39 H 0.7166 0.5586 0.1715
40 H 0.7166 0.9414 0.6715
41 H 0.7834 0.5586 0.6715
42 H 0.7834 0.9414 0.1715
43 H 0.8192 0.0412 0.0423
44 H 0.8192 0.4588 0.5423
45 H 0.9414 0.7166 0.1715
46 H 0.9414 0.7834 0.6715
47 H 0.9553 0.0063 0.1443
48 H 0.9553 0.4937 0.6443
49 H 0.9588 0.1808 0.4577
50 H 0.9588 0.3192 0.9577
51 H 0.9937 0.0447 0.3557
52 H 0.9937 0.4553 0.8557
53 N 0.0310 0.6574 0.1371
54 N 0.0310 0.8426 0.6371
55 N 0.1574 0.5310 0.3629
56 N 0.1574 0.9690 0.8629
57 N 0.2500 0.2500 0.1359
58 N 0.2500 0.2500 0.6359
59 N 0.3426 0.5310 0.8629
60 N 0.3426 0.9690 0.3629
61 N 0.4690 0.6574 0.6371
62 N 0.4690 0.8426 0.1371
63 N 0.5310 0.1574 0.8629
64 N 0.5310 0.3426 0.3629
65 N 0.6574 0.0310 0.6371
66 N 0.6574 0.4690 0.1371
67 N 0.7500 0.7500 0.3641
68 N 0.7500 0.7500 0.8641
69 N 0.8426 0.0310 0.1371
70 N 0.8426 0.4690 0.6371
71 N 0.9690 0.1574 0.3629
72 N 0.9690 0.3426 0.8629
73 F 0.0768 0.6738 0.8662
74 F 0.0768 0.8262 0.3662
75 F 0.1738 0.5768 0.6338
76 F 0.1738 0.9232 0.1338
77 F 0.3262 0.5768 0.1338
78 F 0.3262 0.9232 0.6338
79 F 0.4232 0.6738 0.3662
80 F 0.4232 0.8262 0.8662
81 F 0.5768 0.1738 0.1338
82 F 0.5768 0.3262 0.6338
83 F 0.6738 0.0768 0.3662
84 F 0.6738 0.4232 0.8662
85 F 0.8262 0.0768 0.8662
86 F 0.8262 0.4232 0.3662
87 F 0.9232 0.1738 0.6338
88 F 0.9232 0.3262 0.1338

Values from the calculation:
E_tot = -117.92 eV per formula unit
D(E_F) = 0.000 states/eV/atom
SG = P4/ncc

Record 16
Here is an optimized crystal structure of NbB2Rh from Alexandria via LeMat-Bulk. Energies are from PBE.

a b c (Å): 5.6256 5.6256 5.6256
angles (deg): 90.00 90.00 90.00
Element x y z (fractional)
1 Nb 0.0000 0.0000 0.0000
2 Nb 0.0000 0.5000 0.5000
3 Nb 0.5000 0.0000 0.5000
4 Nb 0.5000 0.5000 0.0000
5 B 0.2500 0.2500 0.2500
6 B 0.2500 0.2500 0.7500
7 B 0.2500 0.7500 0.2500
8 B 0.2500 0.7500 0.7500
9 B 0.7500 0.2500 0.2500
10 B 0.7500 0.2500 0.7500
11 B 0.7500 0.7500 0.2500
12 B 0.7500 0.7500 0.7500
13 Rh 0.0000 0.0000 0.5000
14 Rh 0.0000 0.5000 0.0000
15 Rh 0.5000 0.0000 0.0000
16 Rh 0.5000 0.5000 0.5000

Values from the calculation:
D(E_F) = 0.837 states/eV/atom
SG = Fm-3m
Energy relative to the elements = 0.19 eV per atom

Record 17
Here is an optimized crystal structure of CaAc2Ir from Alexandria via LeMat-Bulk. Energies are from PBE.

a b c (Å): 7.3508 6.8326 12.4562
angles (deg): 90.00 90.00 90.00
Element x y z (fractional)
1 Ca 0.0895 0.2500 0.2500
2 Ca 0.4105 0.7500 0.2500
3 Ca 0.5895 0.2500 0.7500
4 Ca 0.9105 0.7500 0.7500
5 Ac 0.0796 0.2343 0.5819
6 Ac 0.0796 0.2657 0.9181
7 Ac 0.4204 0.7343 0.9181
8 Ac 0.4204 0.7657 0.5819
9 Ac 0.5796 0.2343 0.4181
10 Ac 0.5796 0.2657 0.0819
11 Ac 0.9204 0.7343 0.0819
12 Ac 0.9204 0.7657 0.4181
13 Ir 0.2500 0.0000 0.4123
14 Ir 0.2500 0.5000 0.0877
15 Ir 0.7500 0.0000 0.5877
16 Ir 0.7500 0.5000 0.9123

Values from the calculation:
D(E_F) = 0.793 states/eV/atom
SG = Pnna
Energy relative to the elements = -0.42 eV per atom
Offset from the most stable computed form = 0.0 meV/atom

Record 18
Here is an optimized crystal structure of In10Hg6Sb from Alexandria via LeMat-Bulk. Energies are from PBE.

a b c (Å): 8.9162 8.9162 6.8385
angles (deg): 90.00 90.00 120.00
Element x y z (fractional)
1 In 0.0000 0.2480 0.3138
2 In 0.0000 0.7520 0.6862
3 In 0.2480 0.0000 0.3138
4 In 0.2480 0.2480 0.6862
5 In 0.3333 0.6667 0.0000
6 In 0.3333 0.6667 0.5000
7 In 0.6667 0.3333 0.0000
8 In 0.6667 0.3333 0.5000
9 In 0.7520 0.0000 0.6862
10 In 0.7520 0.7520 0.3138
11 Hg 0.0000 0.4047 0.7695
12 Hg 0.0000 0.5953 0.2305
13 Hg 0.4047 0.0000 0.7695
14 Hg 0.4047 0.4047 0.2305
15 Hg 0.5953 0.0000 0.2305
16 Hg 0.5953 0.5953 0.7695
17 Sb 0.0000 0.0000 0.0000

Values from the calculation:
E_tot = -32.87 eV per formula unit
D(E_F) = 0.462 states/eV/atom
SG = P-31m

Record 19
Here is an optimized crystal structure of Mg2H2Pd from Alexandria via LeMat-Bulk. Energies are from PBE.

a b c (Å): 6.2829 6.2829 3.0132
angles (deg): 90.00 90.00 90.00
Element x y z (fractional)
1 Mg 0.1919 0.3081 0.0000
2 Mg 0.3081 0.8081 0.0000
3 Mg 0.6919 0.1919 0.0000
4 Mg 0.8081 0.6919 0.0000
5 H 0.1334 0.6334 0.5000
6 H 0.3666 0.1334 0.5000
7 H 0.6334 0.8666 0.5000
8 H 0.8666 0.3666 0.5000
9 Pd 0.0000 0.0000 0.5000
10 Pd 0.5000 0.5000 0.5000

Values from the calculation:
D(E_F) = 0.121 states/eV/atom
SG = P4/mbm
Offset from the most stable computed form = 190.8 meV/atom